P | # ZrPbBr6 PBE relaxed
# Density of states at the Fermi level (states/eV/cell): 0.00
# Space group: R-3, No. 148
# V (A^3/atom): 35.0
data_ZrPbBr6
_space_group_name_H-M_alt 'P 1'
_space_group_IT_number 1
_space_group_name_Hall 'P 1'
_cell_length_a 7.628
_cell_length_b 7.628
_cell_length_c 7.628
_cell_angle_alpha 55.34
_cell_angle_beta 55.34
_cell_angle_gamma 55.34
loop_
_atom_site_label
_atom_site_fract_x
_atom_site_fract_y
_atom_site_fract_z
Zr1 0.000 0.000 0.000
Pb1 0.500 0.500 0.500
Br1 0.061 0.779 0.395
Br2 0.221 0.605 0.939
Br3 0.395 0.061 0.779
Br4 0.605 0.939 0.221
Br5 0.779 0.395 0.061
Br6 0.939 0.221 0.605

Q | # ZrPbBr6 PBE relaxed
# Density of states at the Fermi level (states/eV/cell): 0.00
# Space group: C2/m, No. 12
# V (A^3/atom): 38.4
data_ZrPbBr6
_space_group_name_H-M_alt 'P 1'
_space_group_IT_number 1
_space_group_name_Hall 'P 1'
_cell_length_a 7.328
_cell_length_b 7.328
_cell_length_c 7.068
_cell_angle_alpha 98.11
_cell_angle_beta 98.11
_cell_angle_gamma 122.14
loop_
_atom_site_label
_atom_site_fract_x
_atom_site_fract_y
_atom_site_fract_z
Zr1 0.000 0.000 0.000
Pb1 0.500 0.500 0.500
Br1 0.072 0.369 0.223
Br2 0.233 0.233 0.770
Br3 0.369 0.072 0.223
Br4 0.631 0.928 0.777
Br5 0.767 0.767 0.230
Br6 0.928 0.631 0.777

Which structure wins on stability? Q wins.

P | # Zr3PbBr PBE relaxed
# Density of states at the Fermi level (states/eV/cell): 9.66
# Space group: Pm-3m, No. 221
# V (A^3/atom): 25.2
data_Zr3PbBr
_space_group_name_H-M_alt 'P 1'
_space_group_IT_number 1
_space_group_name_Hall 'P 1'
_cell_length_a 5.015
_cell_length_b 5.015
_cell_length_c 5.015
_cell_angle_alpha 90.00
_cell_angle_beta 90.00
_cell_angle_gamma 90.00
loop_
_atom_site_label
_atom_site_fract_x
_atom_site_fract_y
_atom_site_fract_z
Zr1 0.000 0.000 0.500
Zr2 0.000 0.500 0.000
Zr3 0.500 0.000 0.000
Pb1 0.500 0.500 0.500
Br1 0.000 0.000 0.000

Q | # Zr3PbBr PBE relaxed
# Density of states at the Fermi level (states/eV/cell): 7.97
# Space group: Pm-3m, No. 221
# V (A^3/atom): 33.7
data_Zr3PbBr
_space_group_name_H-M_alt 'P 1'
_space_group_IT_number 1
_space_group_name_Hall 'P 1'
_cell_length_a 5.521
_cell_length_b 5.521
_cell_length_c 5.521
_cell_angle_alpha 90.00
_cell_angle_beta 90.00
_cell_angle_gamma 90.00
loop_
_atom_site_label
_atom_site_fract_x
_atom_site_fract_y
_atom_site_fract_z
Zr1 0.000 0.000 0.500
Zr2 0.000 0.500 0.000
Zr3 0.500 0.000 0.000
Pb1 0.000 0.000 0.000
Br1 0.500 0.500 0.500

Which structure wins on stability? P wins.

P | # PmPdBr PBE relaxed
# Space group: C2/m, No. 12
# V (A^3/atom): 30.3
data_PmPdBr
_space_group_name_H-M_alt 'P 1'
_space_group_IT_number 1
_space_group_name_Hall 'P 1'
_cell_length_a 4.313
_cell_length_b 4.313
_cell_length_c 11.298
_cell_angle_alpha 90.86
_cell_angle_beta 90.86
_cell_angle_gamma 60.01
loop_
_atom_site_label
_atom_site_fract_x
_atom_site_fract_y
_atom_site_fract_z
Pm1 0.005 0.005 0.175
Pm2 0.995 0.995 0.825
Pd1 0.334 0.334 0.037
Pd2 0.666 0.666 0.963
Br1 0.324 0.324 0.664
Br2 0.676 0.676 0.336

Q | # PmPdBr PBE relaxed
# Density of states at the Fermi level (states/eV/cell): 0.00
# Space group: I4mm, No. 107
# V (A^3/atom): 24.6
data_PmPdBr
_space_group_name_H-M_alt 'P 1'
_space_group_IT_number 1
_space_group_name_Hall 'P 1'
_cell_length_a 6.158
_cell_length_b 6.158
_cell_length_c 6.158
_cell_angle_alpha 145.67
_cell_angle_beta 145.67
_cell_angle_gamma 49.34
loop_
_atom_site_label
_atom_site_fract_x
_atom_site_fract_y
_atom_site_fract_z
Pm1 0.000 0.000 0.000
Pd1 0.369 0.369 0.000
Br1 0.681 0.681 0.000

Which structure wins on stability? P wins.

P | # PmPdBr PBE relaxed
# Space group: R-3m, No. 166
# V (A^3/atom): 30.3
data_PmPdBr
_space_group_name_H-M_alt 'P 1'
_space_group_IT_number 1
_space_group_name_Hall 'P 1'
_cell_length_a 11.562
_cell_length_b 11.562
_cell_length_c 11.562
_cell_angle_alpha 21.49
_cell_angle_beta 21.49
_cell_angle_gamma 21.49
loop_
_atom_site_label
_atom_site_fract_x
_atom_site_fract_y
_atom_site_fract_z
Pm1 0.058 0.058 0.058
Pm2 0.942 0.942 0.942
Pd1 0.346 0.346 0.346
Pd2 0.654 0.654 0.654
Br1 0.221 0.221 0.221
Br2 0.779 0.779 0.779

Q | # PmPdBr PBE relaxed
# Density of states at the Fermi level (states/eV/cell): 2.17
# Space group: Pm, No. 6
# V (A^3/atom): 25.0
data_PmPdBr
_space_group_name_H-M_alt 'P 1'
_space_group_IT_number 1
_space_group_name_Hall 'P 1'
_cell_length_a 5.167
_cell_length_b 3.865
_cell_length_c 7.570
_cell_angle_alpha 90.00
_cell_angle_beta 96.72
_cell_angle_gamma 90.00
loop_
_atom_site_label
_atom_site_fract_x
_atom_site_fract_y
_atom_site_fract_z
Pm1 0.000 0.000 0.000
Pm2 0.428 0.000 0.595
Pd1 0.468 0.500 0.869
Pd2 0.939 0.500 0.719
Br1 0.058 0.500 0.366
Br2 0.532 0.000 0.188

Which structure wins on stability? P wins.

P | # Pm2PdBr PBE relaxed
# Density of states at the Fermi level (states/eV/cell): 3.51
# Space group: R-3m, No. 166
# V (A^3/atom): 29.3
data_Pm2PdBr
_space_group_name_H-M_alt 'P 1'
_space_group_IT_number 1
_space_group_name_Hall 'P 1'
_cell_length_a 8.075
_cell_length_b 8.075
_cell_length_c 8.075
_cell_angle_alpha 30.06
_cell_angle_beta 30.06
_cell_angle_gamma 30.06
loop_
_atom_site_label
_atom_site_fract_x
_atom_site_fract_y
_atom_site_fract_z
Pm1 0.234 0.234 0.234
Pm2 0.766 0.766 0.766
Pd1 0.500 0.500 0.500
Br1 0.000 0.000 0.000

Q | # Pm2PdBr PBE relaxed
# Density of states at the Fermi level (states/eV/cell): 4.48
# Space group: P4/mmm, No. 123
# V (A^3/atom): 25.5
data_Pm2PdBr
_space_group_name_H-M_alt 'P 1'
_space_group_IT_number 1
_space_group_name_Hall 'P 1'
_cell_length_a 3.505
_cell_length_b 3.505
_cell_length_c 8.308
_cell_angle_alpha 90.00
_cell_angle_beta 90.00
_cell_angle_gamma 90.00
loop_
_atom_site_label
_atom_site_fract_x
_atom_site_fract_y
_atom_site_fract_z
Pm1 0.000 0.000 0.219
Pm2 0.000 0.000 0.781
Pd1 0.500 0.500 0.000
Br1 0.500 0.500 0.500

Which structure wins on stability? P wins.

P | # PdPt2Br PBE relaxed
# Density of states at the Fermi level (states/eV/cell): 3.95
# Space group: Fm-3m, No. 225
# V (A^3/atom): 17.0
data_PdPt2Br
_space_group_name_H-M_alt 'P 1'
_space_group_IT_number 1
_space_group_name_Hall 'P 1'
_cell_length_a 4.578
_cell_length_b 4.578
_cell_length_c 4.578
_cell_angle_alpha 60.00
_cell_angle_beta 60.00
_cell_angle_gamma 60.00
loop_
_atom_site_label
_atom_site_fract_x
_atom_site_fract_y
_atom_site_fract_z
Pd1 0.000 0.000 0.000
Pt1 0.250 0.250 0.250
Pt2 0.750 0.750 0.750
Br1 0.500 0.500 0.500

Q | # PdPt2Br PBE relaxed
# Density of states at the Fermi level (states/eV/cell): 9.91
# Space group: I-42d, No. 122
# V (A^3/atom): 18.1
data_PdPt2Br
_space_group_name_H-M_alt 'P 1'
_space_group_IT_number 1
_space_group_name_Hall 'P 1'
_cell_length_a 5.840
_cell_length_b 5.840
_cell_length_c 5.840
_cell_angle_alpha 102.29
_cell_angle_beta 102.29
_cell_angle_gamma 125.04
loop_
_atom_site_label
_atom_site_fract_x
_atom_site_fract_y
_atom_site_fract_z
Pd1 0.000 0.000 0.000
Pd2 0.750 0.250 0.500
Pt1 0.133 0.625 0.008
Pt2 0.375 0.383 0.508
Pt3 0.617 0.125 0.992
Pt4 0.875 0.867 0.492
Br1 0.250 0.750 0.500
Br2 0.500 0.500 0.000

Which structure wins on stability? Q wins.

P | # PdPt3Br PBE relaxed
# Density of states at the Fermi level (states/eV/cell): 11.32
# Space group: Pm-3m, No. 221
# V (A^3/atom): 23.4
data_PdPt3Br
_space_group_name_H-M_alt 'P 1'
_space_group_IT_number 1
_space_group_name_Hall 'P 1'
_cell_length_a 4.894
_cell_length_b 4.894
_cell_length_c 4.894
_cell_angle_alpha 90.00
_cell_angle_beta 90.00
_cell_angle_gamma 90.00
loop_
_atom_site_label
_atom_site_fract_x
_atom_site_fract_y
_atom_site_fract_z
Pd1 0.000 0.000 0.000
Pt1 0.000 0.000 0.500
Pt2 0.000 0.500 0.000
Pt3 0.500 0.000 0.000
Br1 0.500 0.500 0.500

Q | # PdPt3Br PBE relaxed
# Density of states at the Fermi level (states/eV/cell): 6.30
# Space group: Pm-3m, No. 221
# V (A^3/atom): 20.6
data_PdPt3Br
_space_group_name_H-M_alt 'P 1'
_space_group_IT_number 1
_space_group_name_Hall 'P 1'
_cell_length_a 4.684
_cell_length_b 4.684
_cell_length_c 4.684
_cell_angle_alpha 90.00
_cell_angle_beta 90.00
_cell_angle_gamma 90.00
loop_
_atom_site_label
_atom_site_fract_x
_atom_site_fract_y
_atom_site_fract_z
Pd1 0.000 0.000 0.000
Pt1 0.000 0.500 0.500
Pt2 0.500 0.000 0.500
Pt3 0.500 0.500 0.000
Br1 0.500 0.500 0.500

Which structure wins on stability? Q wins.

P | # PdPtBr2 PBE relaxed
# Density of states at the Fermi level (states/eV/cell): 7.35
# Space group: I-42d, No. 122
# V (A^3/atom): 25.9
data_PdPtBr2
_space_group_name_H-M_alt 'P 1'
_space_group_IT_number 1
_space_group_name_Hall 'P 1'
_cell_length_a 7.212
_cell_length_b 7.212
_cell_length_c 7.212
_cell_angle_alpha 131.24
_cell_angle_beta 131.24
_cell_angle_gamma 71.43
loop_
_atom_site_label
_atom_site_fract_x
_atom_site_fract_y
_atom_site_fract_z
Pd1 0.000 0.000 0.000
Pd2 0.750 0.250 0.500
Pt1 0.250 0.750 0.500
Pt2 0.500 0.500 0.000
Br1 0.132 0.625 0.007
Br2 0.375 0.382 0.507
Br3 0.618 0.125 0.993
Br4 0.875 0.868 0.493

Q | # PdPtBr2 PBE relaxed
# Density of states at the Fermi level (states/eV/cell): 5.49
# Space group: R-3m, No. 166
# V (A^3/atom): 24.4
data_PdPtBr2
_space_group_name_H-M_alt 'P 1'
_space_group_IT_number 1
_space_group_name_Hall 'P 1'
_cell_length_a 8.158
_cell_length_b 8.158
_cell_length_c 8.158
_cell_angle_alpha 26.85
_cell_angle_beta 26.85
_cell_angle_gamma 26.85
loop_
_atom_site_label
_atom_site_fract_x
_atom_site_fract_y
_atom_site_fract_z
Pd1 0.000 0.000 0.000
Pt1 0.500 0.500 0.500
Br1 0.399 0.399 0.399
Br2 0.601 0.601 0.601

Which structure wins on stability? Q wins.

P | # PuPdBr6 PBE relaxed
# Density of states at the Fermi level (states/eV/cell): 12.02
# Space group: R-3, No. 148
# V (A^3/atom): 31.4
data_PuPdBr6
_space_group_name_H-M_alt 'P 1'
_space_group_IT_number 1
_space_group_name_Hall 'P 1'
_cell_length_a 7.362
_cell_length_b 7.362
_cell_length_c 7.362
_cell_angle_alpha 55.23
_cell_angle_beta 55.23
_cell_angle_gamma 55.23
loop_
_atom_site_label
_atom_site_fract_x
_atom_site_fract_y
_atom_site_fract_z
Pu1 0.000 0.000 0.000
Pd1 0.500 0.500 0.500
Br1 0.106 0.411 0.740
Br2 0.260 0.894 0.589
Br3 0.411 0.740 0.106
Br4 0.589 0.260 0.894
Br5 0.740 0.106 0.411
Br6 0.894 0.589 0.260

Q | # PuPdBr6 PBE relaxed
# Density of states at the Fermi level (states/eV/cell): 6.73
# Space group: C2/m, No. 12
# V (A^3/atom): 37.5
data_PuPdBr6
_space_group_name_H-M_alt 'P 1'
_space_group_IT_number 1
_space_group_name_Hall 'P 1'
_cell_length_a 7.219
_cell_length_b 7.219
_cell_length_c 6.645
_cell_angle_alpha 90.24
_cell_angle_beta 90.24
_cell_angle_gamma 120.05
loop_
_atom_site_label
_atom_site_fract_x
_atom_site_fract_y
_atom_site_fract_z
Pu1 0.000 0.000 0.000
Pd1 0.000 0.000 0.500
Br1 0.000 0.299 0.260
Br2 0.000 0.701 0.740
Br3 0.299 0.000 0.260
Br4 0.299 0.299 0.744
Br5 0.701 0.000 0.740
Br6 0.701 0.701 0.256

Which structure wins on stability? Q wins.

P | # Pu2PdBr PBE relaxed
# Density of states at the Fermi level (states/eV/cell): 23.11
# Space group: R-3m, No. 166
# V (A^3/atom): 27.4
data_Pu2PdBr
_space_group_name_H-M_alt 'P 1'
_space_group_IT_number 1
_space_group_name_Hall 'P 1'
_cell_length_a 8.360
_cell_length_b 8.360
_cell_length_c 8.360
_cell_angle_alpha 27.44
_cell_angle_beta 27.44
_cell_angle_gamma 27.44
loop_
_atom_site_label
_atom_site_fract_x
_atom_site_fract_y
_atom_site_fract_z
Pu1 0.238 0.238 0.238
Pu2 0.762 0.762 0.762
Pd1 0.500 0.500 0.500
Br1 0.000 0.000 0.000

Q | # Pu2PdBr PBE relaxed
# Density of states at the Fermi level (states/eV/cell): 17.34
# Space group: P4/mmm, No. 123
# V (A^3/atom): 24.0
data_Pu2PdBr
_space_group_name_H-M_alt 'P 1'
_space_group_IT_number 1
_space_group_name_Hall 'P 1'
_cell_length_a 3.461
_cell_length_b 3.461
_cell_length_c 8.014
_cell_angle_alpha 90.00
_cell_angle_beta 90.00
_cell_angle_gamma 90.00
loop_
_atom_site_label
_atom_site_fract_x
_atom_site_fract_y
_atom_site_fract_z
Pu1 0.000 0.000 0.224
Pu2 0.000 0.000 0.776
Pd1 0.500 0.500 0.000
Br1 0.500 0.500 0.500

Which structure wins on stability? Q wins.

P | # RbPd2Br PBE relaxed
# Density of states at the Fermi level (states/eV/cell): 1.66
# Space group: I4_1/amd, No. 141
# V (A^3/atom): 31.7
data_RbPd2Br
_space_group_name_H-M_alt 'P 1'
_space_group_IT_number 1
_space_group_name_Hall 'P 1'
_cell_length_a 9.155
_cell_length_b 9.155
_cell_length_c 9.155
_cell_angle_alpha 144.79
_cell_angle_beta 144.79
_cell_angle_gamma 50.65
loop_
_atom_site_label
_atom_site_fract_x
_atom_site_fract_y
_atom_site_fract_z
Rb1 0.375 0.625 0.750
Rb2 0.625 0.375 0.250
Pd1 0.000 0.000 0.000
Pd2 0.000 0.000 0.500
Pd3 0.000 0.500 0.000
Pd4 0.500 0.000 0.500
Br1 0.125 0.875 0.250
Br2 0.875 0.125 0.750

Q | # RbPd2Br PBE relaxed
# Density of states at the Fermi level (states/eV/cell): 1.06
# Space group: Fm-3m, No. 225
# V (A^3/atom): 22.7
data_RbPd2Br
_space_group_name_H-M_alt 'P 1'
_space_group_IT_number 1
_space_group_name_Hall 'P 1'
_cell_length_a 5.045
_cell_length_b 5.045
_cell_length_c 5.045
_cell_angle_alpha 60.00
_cell_angle_beta 60.00
_cell_angle_gamma 60.00
loop_
_atom_site_label
_atom_site_fract_x
_atom_site_fract_y
_atom_site_fract_z
Rb1 0.000 0.000 0.000
Pd1 0.250 0.250 0.250
Pd2 0.750 0.750 0.750
Br1 0.500 0.500 0.500

Which structure wins on stability? P wins.

P | # Rb2PdBr PBE relaxed
# Density of states at the Fermi level (states/eV/cell): 2.70
# Space group: Fm-3m, No. 225
# V (A^3/atom): 35.7
data_Rb2PdBr
_space_group_name_H-M_alt 'P 1'
_space_group_IT_number 1
_space_group_name_Hall 'P 1'
_cell_length_a 5.868
_cell_length_b 5.868
_cell_length_c 5.868
_cell_angle_alpha 60.00
_cell_angle_beta 60.00
_cell_angle_gamma 60.00
loop_
_atom_site_label
_atom_site_fract_x
_atom_site_fract_y
_atom_site_fract_z
Rb1 0.250 0.250 0.250
Rb2 0.750 0.750 0.750
Pd1 0.000 0.000 0.000
Br1 0.500 0.500 0.500

Q | # Rb2PdBr PBE relaxed
# Density of states at the Fermi level (states/eV/cell): 2.00
# Space group: I-42d, No. 122
# V (A^3/atom): 45.1
data_Rb2PdBr
_space_group_name_H-M_alt 'P 1'
_space_group_IT_number 1
_space_group_name_Hall 'P 1'
_cell_length_a 7.775
_cell_length_b 7.775
_cell_length_c 7.775
_cell_angle_alpha 111.47
_cell_angle_beta 111.47
_cell_angle_gamma 105.54
loop_
_atom_site_label
_atom_site_fract_x
_atom_site_fract_y
_atom_site_fract_z
Rb1 0.120 0.625 0.995
Rb2 0.375 0.370 0.495
Rb3 0.630 0.125 0.005
Rb4 0.875 0.880 0.505
Pd1 0.000 0.000 0.000
Pd2 0.750 0.250 0.500
Br1 0.250 0.750 0.500
Br2 0.500 0.500 0.000

Which structure wins on stability? P wins.